Entry from Alexandria via LeMat-Bulk: crystalline CeMgSc2 at its relaxed geometry (PBE-GGA).

Cell: 3.302 3.302 9.107 Å, 90.00 90.00 90.00°
Space group P4/mmm (No. 123)
Inequivalent atoms, fractional coordinates:
1 Ce 0.000 0.000 0.000
2 Mg 0.000 0.000 0.500
3 Sc 0.500 0.500 0.258

Results
Fermi-level density of states: 1.7320 states/eV/atom
total magnetization: 0.08 μB/f.u.
E above lowest polymorph: 0 meV/atom
formation energy from the elements: 0.0191 eV per atom

---

Entry from Alexandria via LeMat-Bulk: crystalline Pm3PrEr2Se6 at its relaxed geometry (PBE-GGA).

Cell: 7.171 12.473 7.219 Å, 90.00 109.38 90.00°
Space group C2/m (No. 12)
Inequivalent atoms, fractional coordinates:
1 Pm 0.000 0.000 0.000
2 Pm 0.000 0.342 0.000
3 Pr 0.000 0.500 0.500
4 Er 0.000 0.166 0.500
5 Se 0.232 0.000 0.737
6 Se 0.245 0.174 0.256

Results
Fermi-level density of states: 0.4409 states/eV/atom
total magnetization: 0.00 μB/f.u.
formation energy from raw total energies: -1792 meV per atom

---

Entry from Alexandria via LeMat-Bulk: crystalline CaScAl2Au5 at its relaxed geometry (PBE-GGA).

Cell: 4.540 4.540 8.698 Å, 90.00 90.00 90.00°
Space group P4/mmm (No. 123)
Inequivalent atoms, fractional coordinates:
1 Ca 0.000 0.000 0.000
2 Sc 0.000 0.000 0.500
3 Al 0.500 0.500 0.357
4 Au 0.000 0.500 0.235
5 Au 0.500 0.500 0.000

Results
Fermi-level density of states: 0.4765 states/eV/atom
total magnetization: 0.00 μB/f.u.
formation energy from the elements: -0.4957 eV per atom

---

Entry from Alexandria via LeMat-Bulk: crystalline LaPu2Zn at its relaxed geometry (PBE-GGA).

Cell: 3.694 3.694 7.899 Å, 90.00 90.00 90.00°
Space group P4/mmm (No. 123)
Inequivalent atoms, fractional coordinates:
1 La 0.000 0.000 0.000
2 Pu 0.500 0.500 0.298
3 Zn 0.000 0.000 0.500

Results
Fermi-level density of states: 3.4052 states/eV/atom
total magnetization: 12.08 μB/f.u.
E above lowest polymorph: 43 meV/atom
formation energy from the elements: 0.1056 eV per atom

---

Entry from Alexandria via LeMat-Bulk: crystalline Tb2Nd3Sc4 at its relaxed geometry (PBE-GGA).

Cell: 16.003 11.369 5.878 Å, 90.00 97.55 90.00°
Space group C2/c (No. 15)
Inequivalent atoms, fractional coordinates:
1 Tb 0.118 0.119 0.292
2 Nd 0.000 0.146 0.750
3 Nd 0.162 0.379 0.601
4 Sc 0.053 0.382 0.047
5 Sc 0.232 0.135 0.851

Results
Fermi-level density of states: 1.6042 states/eV/atom
total magnetization: 0.00 μB/f.u.
formation energy from the elements: 0.1184 eV per atom

---

Entry from Alexandria via LeMat-Bulk: crystalline Tl3Ag3As2S6 at its relaxed geometry (PBE-GGA).

Cell: 11.287 12.091 12.053 Å, 90.00 119.93 90.00°
Space group P2_1/c (No. 14)
Inequivalent atoms, fractional coordinates:
1 Tl 0.163 0.247 0.225
2 Tl 0.198 0.511 0.977
3 Tl 0.212 0.613 0.613
4 Ag 0.123 0.151 0.928
5 Ag 0.463 0.629 0.547
6 Ag 0.467 0.642 0.926
7 As 0.159 0.603 0.255
8 As 0.497 0.142 0.244
9 S 0.003 0.683 0.062
10 S 0.008 0.532 0.311
11 S 0.251 0.749 0.393
12 S 0.368 0.081 0.037
13 S 0.381 0.074 0.342
14 S 0.427 0.180 0.716

Results
total magnetization: 0.00 μB/f.u.
formation energy from raw total energies: -224 meV per atom

---

Number 6 is which compound? Tl3Ag3As2S6